(1)
Computed, not measured: a geometry-optimized InFe2GeN structure at the PBE level of DFT.

Calculated values
- M_tot: 8.3 μB/f.u.
- E_tot: -23.9 eV/f.u.
- Formation energy (no corrections): 1.73 eV/atom

Cell: 4.5700 4.5700 5.2948 Å, 90.00 90.00 90.00°
With the nearest neighbours (Å) after each atom.
Positions (direct):
In1 0.0000 0.0000 0.0000  2 Ge 2.65
Fe1 0.0000 0.5000 0.5000  2 Ge 2.29
Fe2 0.5000 0.0000 0.5000  2 Ge 2.29
Ge1 0.0000 0.0000 0.5000  4 Fe 2.29
N1 0.5000 0.5000 0.0000  4 In 3.23, 8 Fe 3.50



(2)
Computed, not measured: a geometry-optimized NbIn2FeGe structure at the PBE level of DFT.

Calculated values
- M_tot: 3.7 μB/f.u.
- E_tot: -23.1 eV/f.u.
- ΔE_f: 5.488 eV/f.u.

Cell: 5.3727 5.3727 4.9517 Å, 90.00 90.00 90.00°
With the nearest neighbours (Å) after each atom.
Positions (direct):
Nb1 0.0000 0.0000 0.0000  2 Ge 2.48, 4 In 2.69
In1 0.0000 0.5000 0.0000  2 Nb 2.69
In2 0.5000 0.0000 0.0000  2 Nb 2.69
Fe1 0.5000 0.5000 0.5000  8 In 3.65, 4 Ge 3.80
Ge1 0.0000 0.0000 0.5000  2 Nb 2.48



(3)
Computed, not measured: a geometry-optimized In2FeNiGe structure at the PBE level of DFT.

Calculated values
- M_tot: 3.5 μB/f.u.
- E_tot: -19.8 eV/f.u.
- ΔE_f: 4.528 eV/f.u.

Cell: 5.2787 5.2787 4.3380 Å, 90.00 90.00 90.00°
With the nearest neighbours (Å) after each atom.
Positions (direct):
In1 0.0000 0.5000 0.0000  2 Ge 2.64
In2 0.5000 0.0000 0.0000  2 Ge 2.64
Fe1 0.0000 0.0000 0.5000  8 In 3.42, 4 Ni 3.73
Ni1 0.5000 0.5000 0.5000  2 Ge 2.17
Ge1 0.5000 0.5000 0.0000  2 Ni 2.17



The highest M_tot belongs to which entry?
InFe2GeN



Repeat the third record exactly.
Computed, not measured: a geometry-optimized In2FeNiGe structure at the PBE level of DFT.

Calculated values
- M_tot: 3.5 μB/f.u.
- E_tot: -19.8 eV/f.u.
- ΔE_f: 4.528 eV/f.u.

Cell: 5.2787 5.2787 4.3380 Å, 90.00 90.00 90.00°
With the nearest neighbours (Å) after each atom.
Positions (direct):
In1 0.0000 0.5000 0.0000  2 Ge 2.64
In2 0.5000 0.0000 0.0000  2 Ge 2.64
Fe1 0.0000 0.0000 0.5000  8 In 3.42, 4 Ni 3.73
Ni1 0.5000 0.5000 0.5000  2 Ge 2.17
Ge1 0.5000 0.5000 0.0000  2 Ni 2.17